Here is a relaxed structure of AgNCl2 from Alexandria. Energies are from GGA-PBEsol.

Output
E_form (uncorrected)	0.920	eV/atom

```
AgNCl2
1.0
3.946 0.000 0.000
1.973 3.418 0.000
1.973 1.139 6.948
Ag N Cl
1 1 2
direct
0.500 0.500 0.500
0.000 0.000 0.000
0.901 0.901 0.298
0.099 0.099 0.702
```

---

Here is a relaxed structure of AgS2NCl from Alexandria. Energies are from GGA-PBEsol.

Output
DOS at the Fermi energy	5.5	states/eV/cell
E_form (uncorrected)	1.464	eV/atom

```
AgS2NCl
1.0
-0.202 -1.297 -3.785
4.610 -1.621 0.309
-1.631 -4.339 1.574
Cl Ag S N
1 1 2 1
direct
0.500 0.500 0.500
0.000 0.000 0.000
0.000 0.000 0.500
0.000 0.500 0.000
0.500 0.000 0.000
```

---

Here is a relaxed structure of Na3AgCl from Alexandria. Energies are from GGA-PBEsol.

Output
DOS at the Fermi energy	2.8	states/eV/cell
E_form (uncorrected)	-0.204	eV/atom

```
Na3AgCl
1.0
-2.834 -2.260 4.161
4.268 -3.321 1.103
2.052 3.785 3.453
Na Ag Cl
3 1 1
direct
0.000 0.500 0.000
0.000 0.000 0.500
0.500 0.000 0.000
0.000 0.000 0.000
0.500 0.500 0.500
```

---

Here is a relaxed structure of NaAgS2Cl from Alexandria. Energies are from GGA-PBEsol.

Output
DOS at the Fermi energy	3.5	states/eV/cell
E_form (uncorrected)	0.606	eV/atom

```
NaAgS2Cl
1.0
-3.074 1.279 3.574
-0.756 -4.812 1.071
3.801 0.121 3.226
Cl S Na Ag
1 2 1 1
direct
0.500 0.000 0.000
0.000 0.000 0.500
0.000 0.500 0.000
0.000 0.000 0.000
0.500 0.500 0.500
```

---

Here is a relaxed structure of Nb3AgCl from Alexandria. Energies are from GGA-PBEsol.

Output
DOS at the Fermi energy	4.2	states/eV/cell
E_form (uncorrected)	1.953	eV/atom

```
Nb3AgCl
1.0
4.925 0.000 0.000
0.000 4.925 0.000
0.000 0.000 4.925
Ag Nb Cl
1 3 1
direct
0.000 0.000 0.000
0.000 0.500 0.000
0.500 0.000 0.000
0.000 0.000 0.500
0.500 0.500 0.500
```

---

Here is a relaxed structure of NbAgP2Cl from Alexandria. Energies are from GGA-PBEsol.

Output
DOS at the Fermi energy	5.0	states/eV/cell
E_form (uncorrected)	1.102	eV/atom

```
NbAgP2Cl
1.0
4.746 0.000 0.000
0.000 4.653 0.000
0.000 0.000 4.653
Cl Nb P Ag
1 1 2 1
direct
0.500 0.000 0.000
0.500 0.500 0.500
0.000 0.500 0.000
0.000 0.000 0.500
0.000 0.000 0.000
```

---

Here is a relaxed structure of NiAgCl from Alexandria. Energies are from GGA-PBEsol.

Output
DOS at the Fermi energy	1.3	states/eV/cell
E_form (uncorrected)	0.259	eV/atom

```
NiAgCl
1.0
-3.054 1.856 -0.005
-1.687 -2.771 2.122
1.795 2.958 1.749
Cl Ni Ag
1 1 1
direct
0.500 0.333 0.667
0.500 0.667 0.333
0.000 0.000 0.000
```

---

Here is a relaxed structure of Ag2ClO from Alexandria. Energies are from GGA-PBEsol.

Output
DOS at the Fermi energy	6.5	states/eV/cell
E_form (uncorrected)	-0.078	eV/atom

```
Ag2ClO
1.0
-0.920 -1.581 -4.673
-4.559 -1.544 1.419
0.459 7.013 0.232
Cl Ag O
2 4 2
direct
0.250 0.750 0.500
0.000 0.000 0.000
0.625 0.515 0.750
0.765 0.375 0.250
0.125 0.235 0.750
0.485 0.875 0.250
0.500 0.500 0.000
0.750 0.250 0.500
```

---

Here is a relaxed structure of AgPb4ClO4 from Alexandria. Energies are from GGA-PBEsol.

Output
DOS at the Fermi energy	0.0	states/eV/cell
E_form (uncorrected)	-0.955	eV/atom

```
AgPb4ClO4
1.0
6.227 0.000 0.000
0.000 8.200 0.000
0.000 0.000 8.200
Pb O Ag Cl
8 8 2 2
direct
0.236 0.353 0.690
0.764 0.147 0.810
0.764 0.690 0.647
0.236 0.810 0.853
0.236 0.647 0.310
0.236 0.190 0.147
0.764 0.853 0.190
0.764 0.310 0.353
0.922 0.746 0.410
0.922 0.090 0.246
0.078 0.410 0.254
0.922 0.910 0.754
0.078 0.246 0.910
0.078 0.754 0.090
0.922 0.254 0.590
0.078 0.590 0.746
0.905 0.500 0.000
0.095 0.000 0.500
0.494 0.000 0.500
0.506 0.500 0.000
```

---

Here is a relaxed structure of ScAg2ClO from Alexandria. Energies are from GGA-PBEsol.

Output
DOS at the Fermi energy	2.5	states/eV/cell
E_form (uncorrected)	-0.320	eV/atom

```
ScAg2ClO
1.0
-2.657 2.611 0.688
-3.799 -3.855 -0.042
0.671 -0.719 5.322
Ag O Cl Sc
2 1 1 1
direct
0.000 0.500 0.000
0.000 0.000 0.500
0.500 0.000 0.000
0.500 0.500 0.500
0.000 0.000 0.000
```

---

Here is a relaxed structure of Ag2OsCl from Alexandria. Energies are from GGA-PBEsol.

Output
DOS at the Fermi energy	2.7	states/eV/cell
energy above the lowest structure with this stoichiometry	244	meV/atom
E_form (uncorrected)	0.773	eV/atom

```
Ag2OsCl
1.0
-2.163 -0.331 -1.668
1.192 -3.829 -0.786
-2.943 0.016 6.081
Os Ag Cl
1 2 1
direct
0.500 0.000 0.000
0.806 0.806 0.612
0.194 0.194 0.388
0.000 0.500 0.000
```

---

Here is a relaxed structure of Ag2OsCl from Alexandria. Energies are from GGA-PBEsol.

Output
DOS at the Fermi energy	2.8	states/eV/cell
energy above the lowest structure with this stoichiometry	0	meV/atom
E_form (uncorrected)	0.529	eV/atom

```
Ag2OsCl
1.0
2.801 0.000 0.000
-1.400 2.513 0.000
0.000 0.000 9.268
Ag Os Cl
2 1 1
direct
0.500 0.000 0.247
0.000 0.000 0.989
0.500 0.000 0.735
0.000 0.000 0.528
```